Entry 1:
Material: Ca2MgGe
Method: DFT, PBE
State: relaxed

Lattice parameters (Å, degrees): 11.157 11.157 11.157 155.17 155.17 35.41
Element x y z (fractional)
Ca 0.103 0.625 0.978
Ca 0.375 0.353 0.478
Ca 0.647 0.125 0.022
Ca 0.875 0.897 0.522
Mg 0.250 0.750 0.500
Mg 0.500 0.500 0.000
Ge 0.000 0.000 0.000
Ge 0.750 0.250 0.500

Computed properties:
The value obtained for the energy of formation is 0.62 eV per formula unit. The value obtained for the total energy is -2.398 eV per atom.


Entry 2:
Material: Ca4Mg5Ge6
Method: DFT, PBE
State: relaxed

Lattice parameters (Å, degrees): 10.457 10.457 15.588 90.00 90.00 155.20
Element x y z (fractional)
Ca 0.019 0.981 0.500
Ca 0.036 0.964 0.760
Ca 0.159 0.841 0.297
Ca 0.172 0.828 0.940
Ca 0.828 0.172 0.440
Ca 0.841 0.159 0.797
Ca 0.964 0.036 0.260
Ca 0.981 0.019 0.000
Mg 0.159 0.841 0.621
Mg 0.308 0.692 0.614
Mg 0.333 0.667 0.267
Mg 0.345 0.655 0.974
Mg 0.450 0.550 0.661
Mg 0.550 0.450 0.161
Mg 0.655 0.345 0.474
Mg 0.667 0.333 0.767
Mg 0.692 0.308 0.114
Mg 0.841 0.159 0.121
Ge 0.108 0.892 0.113
Ge 0.230 0.770 0.470
Ge 0.239 0.761 0.766
Ge 0.420 0.580 0.126
Ge 0.435 0.565 0.399
Ge 0.449 0.551 0.851
Ge 0.551 0.449 0.351
Ge 0.565 0.435 0.899
Ge 0.580 0.420 0.626
Ge 0.761 0.239 0.266
Ge 0.770 0.230 0.970
Ge 0.892 0.108 0.613

Computed properties:
The value obtained for the energy of formation is -6.23 eV per formula unit. The value obtained for the total energy is -3.327 eV per atom.


Entry 3:
Material: CaMgGe2
Method: DFT, PBE
State: relaxed

Lattice parameters (Å, degrees): 9.561 9.561 9.561 150.75 150.75 41.84
Element x y z (fractional)
Ca 0.000 0.000 0.000
Ca 0.750 0.250 0.500
Mg 0.250 0.750 0.500
Mg 0.500 0.500 0.000
Ge 0.212 0.625 0.087
Ge 0.375 0.462 0.587
Ge 0.538 0.125 0.913
Ge 0.875 0.788 0.413

Computed properties:
The value obtained for the energy of formation is -0.51 eV per formula unit. The value obtained for the total energy is -3.336 eV per atom.


Entry 4:
Material: Ca2MgGe
Method: DFT, PBE
State: relaxed

Lattice parameters (Å, degrees): 5.005 5.005 4.163 90.00 90.00 90.00
Element x y z (fractional)
Ca 0.000 0.500 0.000
Ca 0.500 0.000 0.000
Mg 0.000 0.000 0.500
Ge 0.500 0.500 0.500

Computed properties:
The value obtained for the energy of formation is -1.35 eV per formula unit. The value obtained for the total energy is -2.892 eV per atom.


Entry 5:
Material: Ca2MgGeMo
Method: DFT, PBE
State: relaxed

Lattice parameters (Å, degrees): 5.654 5.654 4.999 90.00 90.00 90.00
Element x y z (fractional)
Ca 0.000 0.500 0.000
Ca 0.500 0.000 0.000
Mg 0.000 0.000 0.500
Ge 0.000 0.000 0.000
Mo 0.500 0.500 0.500

Computed properties:
The value obtained for the energy of formation is 3.32 eV per formula unit. The value obtained for the total energy is -3.544 eV per atom.


Entry 6:
Material: Ca2MgGeN
Method: DFT, PBE
State: relaxed

Lattice parameters (Å, degrees): 4.968 4.968 4.085 90.00 90.00 90.00
Element x y z (fractional)
Ca 0.000 0.500 0.000
Ca 0.500 0.000 0.000
Mg 0.000 0.000 0.500
Ge 0.500 0.500 0.500
N 0.000 0.000 0.000

Computed properties:
The calculation puts the raw formation energy at -667 meV/atom. The value obtained for the total energy is -4.375 eV per atom.


Entry 7:
Material: CaMg2GeN
Method: DFT, PBE
State: relaxed

Lattice parameters (Å, degrees): 4.297 4.297 4.839 90.00 90.00 90.00
Element x y z (fractional)
Ca 0.000 0.000 0.000
Mg 0.000 0.500 0.500
Mg 0.500 0.000 0.500
Ge 0.500 0.500 0.000
N 0.000 0.000 0.500

Computed properties:
The calculation puts the raw formation energy at -532 meV/atom. The value obtained for the total energy is -4.159 eV per atom.


Entry 8:
Material: CaNdMg2Ge2
Method: DFT, PBE
State: relaxed

Lattice parameters (Å, degrees): 4.671 4.671 7.390 90.00 90.00 120.00
Element x y z (fractional)
Ca 0.000 0.000 0.000
Nd 0.000 0.000 0.500
Mg 0.333 0.667 0.228
Mg 0.667 0.333 0.772
Ge 0.333 0.667 0.754
Ge 0.667 0.333 0.246

Computed properties:
The value obtained for the energy of formation is -3.11 eV per formula unit. The value obtained for the total energy is -3.718 eV per atom.


Entry 9:
Material: CaNdMgGe
Method: DFT, PBE
State: relaxed

Lattice parameters (Å, degrees): 5.276 5.276 5.276 60.00 60.00 60.00
Element x y z (fractional)
Ca 0.000 0.000 0.000
Nd 0.500 0.500 0.500
Mg 0.250 0.250 0.250
Ge 0.750 0.750 0.750

Computed properties:
The value obtained for the energy of formation is -1.32 eV per formula unit. The value obtained for the total energy is -3.576 eV per atom.


Entry 10:
Material: CaMg2Ni2Ge
Method: DFT, PBE
State: relaxed

Lattice parameters (Å, degrees): 4.485 4.485 6.073 90.00 90.00 90.00
Element x y z (fractional)
Ca 0.000 0.000 0.000
Mg 0.500 0.500 0.253
Mg 0.500 0.500 0.747
Ni 0.000 0.500 0.500
Ni 0.500 0.000 0.500
Ge 0.000 0.000 0.500

Computed properties:
The value obtained for the energy of formation is -1.16 eV per formula unit. The value obtained for the total energy is -3.756 eV per atom.


Entry 11:
Material: Ca2MgNi3Ge4
Method: DFT, PBE
State: relaxed

Lattice parameters (Å, degrees): 4.158 4.158 10.257 90.00 90.00 90.00
Element x y z (fractional)
Ca 0.000 0.500 0.240
Ca 0.500 0.000 0.760
Mg 0.000 0.000 0.500
Ni 0.000 0.500 0.882
Ni 0.500 0.000 0.118
Ni 0.500 0.500 0.500
Ge 0.000 0.000 0.000
Ge 0.000 0.500 0.652
Ge 0.500 0.000 0.348
Ge 0.500 0.500 0.000

Computed properties:
The value obtained for the energy of formation is -4.68 eV per formula unit. The value obtained for the total energy is -4.609 eV per atom.


Entry 12:
Material: CaMgNiGe2
Method: DFT, PBE
State: relaxed

Lattice parameters (Å, degrees): 6.262 6.262 6.262 141.41 141.41 55.71
Element x y z (fractional)
Ca 0.000 0.000 0.000
Mg 0.750 0.250 0.500
Ni 0.250 0.750 0.500
Ge 0.387 0.387 0.000
Ge 0.613 0.613 0.000

Computed properties:
The value obtained for the energy of formation is -2.11 eV per formula unit. The value obtained for the total energy is -4.145 eV per atom.


Entry 13:
Material: CaMgNi2Ge2
Method: DFT, PBE
State: relaxed

Lattice parameters (Å, degrees): 4.184 4.184 6.877 90.00 90.00 120.00
Element x y z (fractional)
Ca 0.000 0.000 0.000
Mg 0.000 0.000 0.500
Ni 0.333 0.667 0.657
Ni 0.667 0.333 0.343
Ge 0.333 0.667 0.287
Ge 0.667 0.333 0.713

Computed properties:
The value obtained for the energy of formation is -2.94 eV per formula unit. The value obtained for the total energy is -4.556 eV per atom.


Entry 14:
Material: Ca2MgGeO
Method: DFT, PBE
State: relaxed

Lattice parameters (Å, degrees): 4.729 4.729 4.344 90.00 90.00 90.00
Element x y z (fractional)
Ca 0.000 0.500 0.000
Ca 0.500 0.000 0.000
Mg 0.000 0.000 0.500
Ge 0.500 0.500 0.500
O 0.000 0.000 0.000

Computed properties:
The calculation puts the raw formation energy at -1386 meV/atom. The value obtained for the total energy is -4.421 eV per atom.


Entry 15:
Material: Ca2MgGeO5
Method: DFT, PBE
State: relaxed

Lattice parameters (Å, degrees): 6.529 6.529 10.645 90.00 90.00 151.30
Element x y z (fractional)
Ca 0.098 0.902 0.500
Ca 0.160 0.840 0.125
Ca 0.840 0.160 0.625
Ca 0.902 0.098 0.000
Mg 0.220 0.780 0.855
Mg 0.780 0.220 0.355
Ge 0.468 0.532 0.272
Ge 0.532 0.468 0.772
O 0.053 0.947 0.860
O 0.273 0.727 0.489
O 0.322 0.678 0.231
O 0.386 0.614 0.826
O 0.491 0.509 0.610
O 0.509 0.491 0.110
O 0.614 0.386 0.326
O 0.678 0.322 0.731
O 0.727 0.273 0.989
O 0.947 0.053 0.360

Computed properties:
The calculation puts the raw formation energy at -2465 meV/atom. The value obtained for the total energy is -6.355 eV per atom.


Entry 16:
Material: CaMgGePb
Method: DFT, PBE
State: relaxed

Lattice parameters (Å, degrees): 5.222 5.222 5.222 60.00 60.00 60.00
Element x y z (fractional)
Ca 0.000 0.000 0.000
Mg 0.500 0.500 0.500
Ge 0.250 0.250 0.250
Pb 0.750 0.750 0.750

Computed properties:
The value obtained for the energy of formation is -0.98 eV per formula unit. The value obtained for the total energy is -3.226 eV per atom.


Entry 17:
Material: CaMgGe2Pd2
Method: DFT, PBE
State: relaxed

Lattice parameters (Å, degrees): 4.383 4.383 6.929 90.00 90.00 120.00
Element x y z (fractional)
Ca 0.000 0.000 0.000
Mg 0.000 0.000 0.500
Ge 0.333 0.667 0.278
Ge 0.667 0.333 0.722
Pd 0.333 0.667 0.673
Pd 0.667 0.333 0.327

Computed properties:
The value obtained for the energy of formation is -4.04 eV per formula unit. The value obtained for the total energy is -4.544 eV per atom.


Entry 18:
Material: CaMg2Ge2Pd2
Method: DFT, PBE
State: relaxed

Lattice parameters (Å, degrees): 8.541 8.541 8.541 29.72 29.72 29.72
Element x y z (fractional)
Ca 0.000 0.000 0.000
Mg 0.138 0.138 0.138
Mg 0.862 0.862 0.862
Ge 0.256 0.256 0.256
Ge 0.744 0.744 0.744
Pd 0.433 0.433 0.433
Pd 0.567 0.567 0.567

Computed properties:
The value obtained for the energy of formation is -4.03 eV per formula unit. The value obtained for the total energy is -4.120 eV per atom.


Entry 19:
Material: Ca2MgGe4Pd3
Method: DFT, PBE
State: relaxed

Lattice parameters (Å, degrees): 4.204 4.204 11.177 90.00 90.00 90.00
Element x y z (fractional)
Ca 0.000 0.500 0.246
Ca 0.500 0.000 0.754
Mg 0.000 0.000 0.500
Ge 0.000 0.000 0.000
Ge 0.000 0.500 0.647
Ge 0.500 0.000 0.353
Ge 0.500 0.500 0.000
Pd 0.000 0.500 0.868
Pd 0.500 0.000 0.132
Pd 0.500 0.500 0.500

Computed properties:
The value obtained for the energy of formation is -6.14 eV per formula unit. The value obtained for the total energy is -4.579 eV per atom.


Entry 20:
Material: Ca2MgGe3Pd4
Method: DFT, PBE
State: relaxed

Lattice parameters (Å, degrees): 4.237 4.237 10.837 90.00 90.00 90.00
Element x y z (fractional)
Ca 0.000 0.500 0.241
Ca 0.500 0.000 0.759
Mg 0.000 0.000 0.500
Ge 0.000 0.500 0.871
Ge 0.500 0.000 0.129
Ge 0.500 0.500 0.500
Pd 0.000 0.000 0.000
Pd 0.000 0.500 0.643
Pd 0.500 0.000 0.357
Pd 0.500 0.500 0.000

Computed properties:
The value obtained for the energy of formation is -7.05 eV per formula unit. The value obtained for the total energy is -4.727 eV per atom.